Record 1
# Mo2PbC

A relaxed Mo2PbC crystal (PBE, OQMD).

Properties
DFT total energy ... -8.44 eV per atom
Total magnetization ... 0.01 Bohr magnetons per cell

Lattice parameters (Å, degrees): 3.2339 3.2339 13.8317 90.00 90.00 120.00
Space group P6_3/mmc (No. 194)
Unique sites:
Mo 0.3333 0.6667 0.0772 [4 per cell]
Pb 0.3333 0.6667 0.7500 [2 per cell]
C 0.0000 0.0000 0.0000 [2 per cell]

***

Record 2
# TaCuTe2

A relaxed TaCuTe2 crystal (PBE, OQMD).

Properties
DFT total energy ... -4.69 eV per atom
Total magnetization ... 2.76 Bohr magnetons per cell

Lattice parameters (Å, degrees): 6.967 6.967 6.967 90.00 90.00 90.00
Space group F-43m (No. 216)
Unique sites:
Ta 0.000 0.000 0.000 [4 per cell]
Cu 0.250 0.250 0.250 [4 per cell]
Te 0.000 0.000 0.500 [4 per cell]
Te 0.250 0.250 0.750 [4 per cell]

***

Record 3
# GdCl3

A relaxed GdCl3 crystal (PBE, OQMD).

Properties
DFT total energy ... -4.81 eV per atom
Total magnetization ... 0.03 Bohr magnetons per cell

Lattice parameters (Å, degrees): 3.840 12.922 8.558 90.00 90.00 90.00
Space group Cmcm (No. 63)
Unique sites:
Gd 0.000 0.242 0.250 [4 per cell]
Cl 0.000 0.155 0.568 [8 per cell]
Cl 0.000 0.403 0.750 [4 per cell]

***

The highest DFT total energy belongs to which entry?
TaCuTe2

***

total magnetization of number 2 (TaCuTe2)?
2.76 Bohr magnetons per cell

***

Look up the DFT total energy of the second one.
-4.69 eV per atom